No. 1
First-principles (GGA-PBE) data for a geometry-optimized K2In2Bi2Sb structure, as listed in Alexandria via LeMat-Bulk.

Structure (POSCAR):
```
K2In2Bi2Sb
1.0
-1.209 2.141 -3.218
2.410 -3.597 -5.850
-6.451 -6.202 -1.702
K In Bi Sb
2 2 2 1
direct
0.489 0.023 0.692
0.511 0.977 0.308
0.786 0.430 0.883
0.214 0.570 0.117
0.792 0.416 0.400
0.208 0.584 0.600
0.000 0.000 0.000
```

Properties
The calculation puts the formation energy from raw total energies at -1.00 eV per formula unit. For the total magnetization, the calculation gives 0.0 μB/f.u. The crystal system is monoclinic. As for the space-group type: C2/m, No. 12.

***

No. 2
First-principles (GGA-PBE) data for a geometry-optimized K4InBi3Se8 structure, as listed in Alexandria via LeMat-Bulk.

Structure (POSCAR):
```
K4InBi3Se8
1.0
-1.342 -5.768 -6.159
-6.819 -3.682 4.935
-0.445 8.343 -1.790
K In Bi Se
4 1 3 8
direct
0.500 0.000 0.000
0.500 0.000 0.500
0.000 0.000 0.000
0.000 0.000 0.500
0.000 0.500 0.000
0.500 0.500 0.000
0.500 0.500 0.500
0.000 0.500 0.500
0.229 0.706 0.978
0.229 0.706 0.457
0.262 0.285 0.523
0.749 0.706 0.978
0.251 0.294 0.022
0.738 0.715 0.477
0.771 0.294 0.543
0.771 0.294 0.022
```

Properties
The calculation puts the formation energy from raw total energies at -12.96 eV per formula unit. For the total magnetization, the calculation gives 0.0 μB/f.u. The crystal system is trigonal. As for the space-group type: R-3m, No. 166.

***

No. 3
First-principles (GGA-PBE) data for a geometry-optimized K3InBi2Se6 structure, as listed in Alexandria via LeMat-Bulk.

Structure (POSCAR):
```
K3InBi2Se6
1.0
-0.948 -7.296 0.514
5.592 3.252 3.542
-6.070 2.375 4.837
K In Bi Se
3 1 2 6
direct
0.171 0.829 0.500
0.829 0.171 0.500
0.500 0.500 0.500
0.000 0.000 0.000
0.334 0.666 0.000
0.666 0.334 0.000
0.931 0.613 0.794
0.752 0.752 0.208
0.069 0.387 0.206
0.613 0.931 0.794
0.248 0.248 0.792
0.387 0.069 0.206
```

Properties
The calculation puts the formation energy from raw total energies at -9.79 eV per formula unit. For the total magnetization, the calculation gives 0.0 μB/f.u. The crystal system is monoclinic. As for the space-group type: C2/m, No. 12.

***

No. 4
First-principles (GGA-PBE) data for a geometry-optimized K2InBiSe structure, as listed in Alexandria via LeMat-Bulk.

Structure (POSCAR):
```
K2InBiSe
1.0
7.022 0.000 0.000
0.000 5.138 0.000
0.000 0.000 7.022
K Bi Se In
2 1 1 1
direct
0.000 0.000 0.500
0.500 0.000 0.000
0.500 0.500 0.500
0.000 0.500 0.000
0.000 0.000 0.000
```

Properties
The calculation puts the formation energy from raw total energies at 0.43 eV per formula unit. For the total magnetization, the calculation gives 1.5 μB/f.u. The crystal system is tetragonal. As for the space-group type: P4/mmm, No. 123.

***

No. 5
First-principles (GGA-PBE) data for a geometry-optimized K2InBiSe4 structure, as listed in Alexandria via LeMat-Bulk.

Structure (POSCAR):
```
K2InBiSe4
1.0
7.298 0.000 0.000
3.649 5.827 0.000
3.649 0.000 5.827
K In Bi Se
2 1 1 4
direct
0.000 0.500 0.500
0.500 0.500 0.500
0.500 0.000 0.000
0.000 0.000 0.000
0.094 0.356 0.000
0.906 0.000 0.644
0.550 0.000 0.356
0.450 0.644 0.000
```

Properties
The calculation puts the formation energy from raw total energies at -6.25 eV per formula unit. For the total magnetization, the calculation gives 0.0 μB/f.u. The crystal system is tetragonal. As for the space-group type: I-42m, No. 121.

***

No. 6
First-principles (GGA-PBE) data for a geometry-optimized KSrInBi structure, as listed in Alexandria via LeMat-Bulk.

Structure (POSCAR):
```
KSrInBi
1.0
-1.043 1.090 5.695
-5.542 0.418 1.952
-2.236 -4.223 3.446
Sr K Bi In
1 1 1 1
direct
0.750 0.750 0.750
0.250 0.250 0.250
0.500 0.500 0.500
0.000 0.000 0.000
```

Properties
For the total magnetization, the calculation gives 0.0 μB/f.u. The calculation puts the formation energy from the elements at -0.354 eV/atom. The crystal system is cubic. As for the space-group type: F-43m, No. 216.